(1)
VASP calculation (PBE) on an optimized crystal structure of YRu5.

Structure (CIF):
```
data_YRu5
_cell_length_a 2.824
_cell_length_b 2.824
_cell_length_c 11.825
_cell_angle_alpha 90.00
_cell_angle_beta 90.00
_cell_angle_gamma 90.00
_symmetry_space_group_name_H-M 'P 4/m m m'
_symmetry_Int_Tables_number 123
_symmetry_space_group_name_Hall '-P 4 2'
loop_
_atom_site_label
_atom_site_fract_x
_atom_site_fract_y
_atom_site_fract_z
Y1 0.000 0.000 0.000
Ru1 0.000 0.000 0.341
Ru2 0.500 0.500 0.198
Ru3 0.500 0.500 0.500
```

Values from the calculation:
The calculation puts the total energy at -51.67 eV for the cell shown. The value obtained for the density of states at the Fermi level is 1.213 states/eV/atom.

(2)
VASP calculation (PBE) on an optimized crystal structure of TlZnGa.

Structure (CIF):
```
data_TlZnGa
_cell_length_a 4.4986
_cell_length_b 4.4986
_cell_length_c 3.9370
_cell_angle_alpha 90.00
_cell_angle_beta 90.00
_cell_angle_gamma 120.00
_symmetry_space_group_name_H-M 'P 3 m 1'
_symmetry_Int_Tables_number 156
_symmetry_space_group_name_Hall 'P 3 -2"'
loop_
_atom_site_label
_atom_site_fract_x
_atom_site_fract_y
_atom_site_fract_z
Tl1 0.0000 0.0000 0.0000
Zn1 0.6667 0.3333 0.4941
Ga1 0.3333 0.6667 0.5039
```

Values from the calculation:
The calculation puts the total energy at -6.33 eV for the cell shown. The value obtained for the density of states at the Fermi level is 0.334 states/eV/atom.

(3)
VASP calculation (PBE) on an optimized crystal structure of CaZn17Cd.

Structure (CIF):
```
data_CaZn17Cd
_cell_length_a 9.0518
_cell_length_b 9.0518
_cell_length_c 13.2907
_cell_angle_alpha 90.00
_cell_angle_beta 90.00
_cell_angle_gamma 120.00
_symmetry_space_group_name_H-M 'R 3 m'
_symmetry_Int_Tables_number 160
_symmetry_space_group_name_Hall 'R 3 -2"'
loop_
_atom_site_label
_atom_site_fract_x
_atom_site_fract_y
_atom_site_fract_z
Ca1 0.0000 0.0000 0.0000
Zn1 0.0000 0.0000 0.5547
Zn2 0.0000 0.0000 0.7598
Zn3 0.0320 0.3580 0.3307
Zn4 0.1672 0.3345 0.8396
Zn5 0.1676 0.3352 0.1465
Zn6 0.1700 0.3399 0.5019
Cd1 0.0000 0.0000 0.2615
```

Values from the calculation:
The calculation puts the total energy at -77.33 eV for the cell shown. The value obtained for the density of states at the Fermi level is 0.259 states/eV/atom.

(4)
VASP calculation (PBE) on an optimized crystal structure of BiAuS2.

Structure (CIF):
```
data_BiAuS2
_cell_length_a 6.869
_cell_length_b 6.869
_cell_length_c 7.111
_cell_angle_alpha 90.00
_cell_angle_beta 90.00
_cell_angle_gamma 90.00
_symmetry_space_group_name_H-M 'I 4/m c m'
_symmetry_Int_Tables_number 140
_symmetry_space_group_name_Hall '-I 4 2c'
loop_
_atom_site_label
_atom_site_fract_x
_atom_site_fract_y
_atom_site_fract_z
Bi1 0.000 0.000 0.250
Au1 0.000 0.500 0.250
S1 0.191 0.309 0.000
```

Values from the calculation:
Its formation energy from raw total energies is 0.113 eV/atom. The value obtained for the density of states at the Fermi level is 0.187 states/eV/atom.

(5)
VASP calculation (PBE) on an optimized crystal structure of Pr6C3Cl2.

Structure (CIF):
```
data_Pr6C3Cl2
_cell_length_a 6.621
_cell_length_b 11.466
_cell_length_c 7.367
_cell_angle_alpha 90.00
_cell_angle_beta 107.50
_cell_angle_gamma 90.00
_symmetry_space_group_name_H-M 'C 1 2/m 1'
_symmetry_Int_Tables_number 12
_symmetry_space_group_name_Hall '-C 2y'
loop_
_atom_site_label
_atom_site_fract_x
_atom_site_fract_y
_atom_site_fract_z
Pr1 0.233 0.000 0.199
Pr2 0.233 0.333 0.199
C1 0.000 0.169 0.000
C2 0.000 0.500 0.000
Cl1 0.000 0.334 0.500
```

Values from the calculation:
Its formation energy from raw total energies is -0.724 eV/atom. The value obtained for the density of states at the Fermi level is 0.491 states/eV/atom.

(6)
VASP calculation (PBE) on an optimized crystal structure of PtC2.

Structure (CIF):
```
data_PtC2
_cell_length_a 4.998
_cell_length_b 4.998
_cell_length_c 4.998
_cell_angle_alpha 90.00
_cell_angle_beta 90.00
_cell_angle_gamma 90.00
_symmetry_space_group_name_H-M 'P a -3'
_symmetry_Int_Tables_number 205
_symmetry_space_group_name_Hall '-P 2ac 2ab 3'
loop_
_atom_site_label
_atom_site_fract_x
_atom_site_fract_y
_atom_site_fract_z
Pt1 0.000 0.000 0.000
C1 0.079 0.579 0.921
```

Values from the calculation:
Its energy above the most stable polymorph in this dataset is 69.8 kJ/mol of atoms. The value obtained for the density of states at the Fermi level is 0.466 states/eV/atom.

(7)
VASP calculation (PBE) on an optimized crystal structure of La2SmHo2Er2.

Structure (CIF):
```
data_La2SmHo2Er2
_cell_length_a 11.396
_cell_length_b 5.080
_cell_length_c 8.074
_cell_angle_alpha 90.00
_cell_angle_beta 98.19
_cell_angle_gamma 90.00
_symmetry_space_group_name_H-M 'C 1 2/m 1'
_symmetry_Int_Tables_number 12
_symmetry_space_group_name_Hall '-C 2y'
loop_
_atom_site_label
_atom_site_fract_x
_atom_site_fract_y
_atom_site_fract_z
La1 0.142 0.000 0.426
Sm1 0.000 0.000 0.000
Ho1 0.216 0.500 0.138
Er1 0.071 0.500 0.719
```

Values from the calculation:
The calculation puts the total energy at -65.23 eV for the cell shown. The value obtained for the density of states at the Fermi level is 1.718 states/eV/atom.

(8)
VASP calculation (PBE) on an optimized crystal structure of AcZnIn3.

Structure (CIF):
```
data_AcZnIn3
_cell_length_a 6.734
_cell_length_b 6.727
_cell_length_c 6.764
_cell_angle_alpha 90.00
_cell_angle_beta 119.83
_cell_angle_gamma 90.00
_symmetry_space_group_name_H-M 'C 1 m 1'
_symmetry_Int_Tables_number 8
_symmetry_space_group_name_Hall 'C -2y'
loop_
_atom_site_label
_atom_site_fract_x
_atom_site_fract_y
_atom_site_fract_z
Ac1 0.000 0.000 0.000
Zn1 0.117 0.500 0.235
In1 0.394 0.000 0.788
In2 0.490 0.251 0.480
```

Values from the calculation:
Its energy above the most stable polymorph in this dataset is 0.0 kJ/mol of atoms. The value obtained for the density of states at the Fermi level is 0.240 states/eV/atom.